# SrTa2Rh (PBE, optimized geometry)
data_SrTa2Rh
_chemical_formula_sum 'Sr1 Ta2 Rh1'
_cell_length_a 2.988
_cell_length_b 5.057
_cell_length_c 5.490
_cell_angle_alpha 90.00
_cell_angle_beta 101.25
_cell_angle_gamma 90.00
_symmetry_space_group_name_H-M 'P 1 2/m 1'
_symmetry_Int_Tables_number 10
loop_
_symmetry_equiv_pos_as_xyz
'x,y,z'
'-x,-y,-z'
'-x,y,-z'
'x,-y,z'
loop_
_atom_site_label
_atom_site_fract_x
_atom_site_fract_y
_atom_site_fract_z
Sr1 0.000 0.000 0.000
Ta1 0.292 0.500 0.716
Rh1 0.500 0.000 0.500
# - Energy of formation: 212 kJ/mol of formula units



# Sr2TaRh2 (PBE, optimized geometry)
data_Sr2TaRh2
_chemical_formula_sum 'Sr4 Ta2 Rh4'
_cell_length_a 6.786
_cell_length_b 6.786
_cell_length_c 5.142
_cell_angle_alpha 90.00
_cell_angle_beta 90.00
_cell_angle_gamma 90.00
_symmetry_space_group_name_H-M 'P 4/m b m'
_symmetry_Int_Tables_number 127
_symmetry_space_group_name_Hall '-P 4 2ab'
loop_
_atom_site_label
_atom_site_fract_x
_atom_site_fract_y
_atom_site_fract_z
Sr1 0.178 0.322 0.000
Ta1 0.000 0.000 0.500
Rh1 0.137 0.637 0.500
# - Energy of formation: -19 kJ/mol of formula units



# SrTaRh2 (PBE, optimized geometry)
data_SrTaRh2
_chemical_formula_sum 'Sr2 Ta2 Rh4'
_cell_length_a 7.418
_cell_length_b 3.324
_cell_length_c 7.209
_cell_angle_alpha 90.00
_cell_angle_beta 100.14
_cell_angle_gamma 90.00
_symmetry_space_group_name_H-M 'C 1 2/m 1'
_symmetry_Int_Tables_number 12
loop_
_symmetry_equiv_pos_as_xyz
'x,y,z'
'-x,-y,-z'
'-x,y,-z'
'x,-y,z'
'x+1/2,y+1/2,z'
'-x+1/2,-y+1/2,-z'
'-x+1/2,y+1/2,-z'
'x+1/2,-y+1/2,z'
loop_
_atom_site_label
_atom_site_fract_x
_atom_site_fract_y
_atom_site_fract_z
Sr1 0.000 0.000 0.000
Ta1 0.000 0.500 0.500
Rh1 0.235 0.000 0.682
# - Energy of formation: -48 kJ/mol of formula units



Number 1: M_tot 0.000 μB/f.u.. Number 2: M_tot 0.000 μB/f.u.. Number 3: M_tot 0.000 μB/f.u..